# Na5TlO4, relaxed, DFT PBE-GGA
# formation energy from raw total energies	-1.137	eV/atom
# energy relative to the lowest polymorph listed for this composition	75.7	meV/atom
# magnetic moment	0.080	Bohr magnetons per cell
# volume	15.0	Å³ per atom
data_Na5TlO4
_chemical_formula_sum 'Na10 Tl2 O8'
_cell_length_a 3.560
_cell_length_b 6.385
_cell_length_c 13.166
_cell_angle_alpha 90.00
_cell_angle_beta 90.00
_cell_angle_gamma 90.00
_symmetry_space_group_name_H-M 'I m m m'
_symmetry_Int_Tables_number 71
_symmetry_space_group_name_Hall '-I 2 2'
loop_
_atom_site_label
_atom_site_type_symbol
_atom_site_fract_x
_atom_site_fract_y
_atom_site_fract_z
_atom_site_occupancy
Na1 Na 0.000 0.000 0.000 1
Na2 Na 0.000 0.229 0.328 1
Tl1 Tl 0.000 0.500 0.000 1
O1 O 0.000 0.248 0.500 1
O2 O 0.000 0.500 0.193 1